1.
VBiNO2 | Alexandria via LeMat-Bulk | GGA+U | relaxed; crystal system = tetragonal; energy = -0.2460 Ha/atom
1.0
3.9079 0.0000 0.0000
0.0000 3.9079 0.0000
0.0000 0.0000 3.9421
N O Bi V
1 2 1 1
Direct
0.0000 0.0000 0.5000 N
0.0000 0.5000 0.0000 O
0.5000 0.0000 0.0000 O
0.5000 0.5000 0.5000 Bi
0.0000 0.0000 0.0000 V

2.
VBiNO2 | Alexandria via LeMat-Bulk | GGA+U | relaxed; crystal system = tetragonal; energy = -0.2011 Ha/atom
1.0
4.2055 0.0000 0.0000
0.0000 4.2055 0.0000
0.0000 0.0000 4.2755
O N V Bi
2 1 1 1
Direct
0.5000 0.0000 0.0000 O
0.0000 0.5000 0.0000 O
0.0000 0.0000 0.5000 N
0.5000 0.5000 0.5000 V
0.0000 0.0000 0.0000 Bi

3.
VBiN2O | Alexandria via LeMat-Bulk | GGA+U | relaxed; crystal system = tetragonal; energy = -0.2446 Ha/atom
1.0
-3.8501 0.4766 -0.7549
-0.5426 -3.9031 0.3031
-0.6789 0.3820 3.7037
N V Bi O
2 1 1 1
Direct
0.0000 0.5000 0.0000 N
0.5000 0.0000 0.0000 N
0.0000 0.0000 0.0000 V
0.5000 0.5000 0.5000 Bi
0.0000 0.0000 0.5000 O

4.
VBiN2O | Alexandria via LeMat-Bulk | GGA+U | relaxed; crystal system = tetragonal; energy = -0.1987 Ha/atom
1.0
-1.9724 -0.3615 -3.7690
3.5234 -1.7311 -1.6779
-1.3877 -3.8898 1.0993
V Bi N O
1 1 2 1
Direct
0.5000 0.5000 0.5000 V
0.0000 0.0000 0.0000 Bi
0.5000 0.0000 0.0000 N
0.0000 0.5000 0.0000 N
0.0000 0.0000 0.5000 O

5.
BiWN2O | Alexandria via LeMat-Bulk | GGA+U | relaxed; crystal system = tetragonal; energy = -0.2451 Ha/atom
1.0
4.0944 0.0000 0.0000
0.0000 4.0944 0.0000
0.0000 0.0000 3.9508
Bi N W O
1 2 1 1
Direct
0.5000 0.5000 0.5000 Bi
0.5000 0.0000 0.0000 N
0.0000 0.5000 0.0000 N
0.0000 0.0000 0.0000 W
0.0000 0.0000 0.5000 O

6.
BiWN2O | Alexandria via LeMat-Bulk | GGA+U | relaxed; crystal system = tetragonal; energy = -0.1902 Ha/atom
1.0
4.2999 0.0000 0.0000
0.0000 4.2999 0.0000
0.0000 0.0000 4.0916
N O Bi W
2 1 1 1
Direct
0.0000 0.5000 0.0000 N
0.5000 0.0000 0.0000 N
0.0000 0.0000 0.5000 O
0.0000 0.0000 0.0000 Bi
0.5000 0.5000 0.5000 W